# 1
VASP calculation (PBE) on crystalline TlPd at its relaxed geometry.

Lattice parameters (Å, degrees): 5.601 5.601 5.601 90.00 90.00 90.00
Space group Fm-3m (No. 225)
Inequivalent atoms, fractional coordinates:
Tl (0.000, 0.000, 0.000)
Pd (0.000, 0.000, 0.500)

=====

# 2
VASP calculation (PBE) on crystalline Tl3Pd at its relaxed geometry.

Lattice parameters (Å, degrees): 3.723 8.870 6.312 90.00 90.00 90.00
Space group Imm2 (No. 44)
Inequivalent atoms, fractional coordinates:
Tl (0.000, 0.000, 0.000)
Tl (0.000, 0.195, 0.436)
Pd (0.000, 0.500, 0.159)

## Properties
Relative energy among the computed polymorphs ... 38 meV per atom

=====

# 3
VASP calculation (PBE) on crystalline TlPd at its relaxed geometry.

Lattice parameters (Å, degrees): 8.561 8.561 4.659 90.00 90.00 90.00
Space group I4/mmm (No. 139)
Inequivalent atoms, fractional coordinates:
Tl (0.000, 0.277, 0.000)
Pd (0.168, 0.168, 0.500)

=====

# 4
VASP calculation (PBE) on crystalline Tl3Pd at its relaxed geometry.

Lattice parameters (Å, degrees): 4.749 4.749 8.885 90.00 90.00 90.00
Space group I4/mmm (No. 139)
Inequivalent atoms, fractional coordinates:
Tl (0.000, 0.000, 0.000)
Tl (0.000, 0.500, 0.250)
Pd (0.000, 0.000, 0.500)

## Properties
Relative energy among the computed polymorphs ... 146 meV per atom

=====

| no. | energy of formation (meV/atom) |
| --- | --- |
| 1 | -7 |
| 2 | -20 |
| 3 | -123 |
| 4 | 88 |